(1)
DFT (GGA-PBE) results for a geometry-optimized PmSb2Ru structure.

**Uncorrected energy**: -21.17 eV/f.u.
**ΔE to the lowest computed polymorph**: 947 meV per atom
**Formation energy without anion corrections**: 1.1 eV per formula unit

```
PmSb2Ru
1.0
1.646 0.950 10.508
-1.646 0.950 10.508
0.000 -1.901 10.508
Pm Sb Ru
1 2 1
direct
0.000 0.000 0.000
0.419 0.419 0.419
0.581 0.581 0.581
0.500 0.500 0.500
```

---

(2)
DFT (GGA-PBE) results for a geometry-optimized Zr2Sc2Ni structure.

**DFT formation energy**: 52 meV per atom
**Uncorrected energy**: -35.28 eV/f.u.
**ΔE to the lowest computed polymorph**: 0 meV per atom

```
Zr2Sc2Ni
1.0
6.639 0.000 0.000
0.000 6.639 0.000
0.000 0.000 4.973
Zr Sc Ni
4 4 2
direct
0.149 0.351 0.000
0.351 0.851 0.000
0.649 0.149 0.000
0.851 0.649 0.000
0.163 0.663 0.500
0.337 0.163 0.500
0.663 0.837 0.500
0.837 0.337 0.500
0.000 0.000 0.000
0.500 0.500 0.000
```

---

(3)
DFT (GGA-PBE) results for a geometry-optimized ScP2OF structure.

**Uncorrected energy**: -24.99 eV/f.u.
**ΔE to the lowest computed polymorph**: 36 meV per atom
**Formation energy without anion corrections**: -1.0 eV per formula unit

```
ScP2OF
1.0
5.083 0.000 0.000
0.000 5.083 0.000
0.000 0.000 3.899
Sc P O F
1 2 1 1
direct
0.000 0.000 0.000
0.000 0.500 0.000
0.500 0.000 0.000
0.000 0.000 0.500
0.500 0.500 0.500
```

---

(4)
DFT (GGA-PBE) results for a geometry-optimized Y2HgTe2 structure.

**Uncorrected energy**: -23.21 eV/f.u.
**ΔE to the lowest computed polymorph**: 264 meV per atom
**Formation energy without anion corrections**: -3.7 eV per formula unit

```
Y2HgTe2
1.0
-3.001 3.001 4.999
3.001 -3.001 4.999
3.001 3.001 -4.999
Y Hg Te
2 1 2
direct
0.191 0.191 0.000
0.809 0.809 0.000
0.500 0.500 0.000
0.250 0.750 0.500
0.750 0.250 0.500
```

---

(5)
DFT (GGA-PBE) results for a geometry-optimized Ac3Sn3Hg structure.

**DFT formation energy**: -419 meV per atom
**Uncorrected energy**: -27.57 eV/f.u.
**ΔE to the lowest computed polymorph**: 222 meV per atom

```
Ac3Sn3Hg
1.0
9.853 0.000 0.000
-4.927 8.533 0.000
0.000 0.000 6.785
Ac Sn Hg
6 6 2
direct
0.053 0.364 0.250
0.311 0.947 0.250
0.364 0.311 0.750
0.636 0.689 0.250
0.689 0.053 0.750
0.947 0.636 0.750
0.052 0.358 0.750
0.306 0.948 0.750
0.358 0.306 0.250
0.642 0.694 0.750
0.694 0.052 0.250
0.948 0.642 0.250
0.333 0.667 0.750
0.667 0.333 0.250
```

---

(6)
DFT (GGA-PBE) results for a geometry-optimized BaSc2Hg2 structure.

**DFT formation energy**: -231 meV per atom
**Uncorrected energy**: -16.35 eV/f.u.
**ΔE to the lowest computed polymorph**: 0 meV per atom

```
BaSc2Hg2
1.0
8.832 0.000 0.000
0.000 8.832 0.000
0.000 0.000 3.373
Ba Sc Hg
2 4 4
direct
0.000 0.000 0.000
0.500 0.500 0.000
0.126 0.374 0.000
0.374 0.874 0.000
0.626 0.126 0.000
0.874 0.626 0.000
0.171 0.671 0.500
0.329 0.171 0.500
0.671 0.829 0.500
0.829 0.329 0.500
```

---

(7)
DFT (GGA-PBE) results for a geometry-optimized TmTl2Cd structure.

**DFT formation energy**: 47 meV per atom
**Uncorrected energy**: -9.93 eV/f.u.
**ΔE to the lowest computed polymorph**: 239 meV per atom

```
TmTl2Cd
1.0
2.176 1.257 7.032
-2.176 1.257 7.032
0.000 -2.513 7.032
Tm Tl Cd
1 2 1
direct
0.000 0.000 0.000
0.424 0.424 0.424
0.579 0.579 0.579
0.169 0.169 0.169
```

---

(8)
DFT (GGA-PBE) results for a geometry-optimized Al2ZnGe structure.

**DFT formation energy**: 144 meV per atom
**Uncorrected energy**: -12.80 eV/f.u.

```
Al2ZnGe
1.0
3.347 0.000 0.000
0.000 3.347 0.000
0.000 0.000 6.099
Al Zn Ge
2 1 1
direct
0.000 0.000 0.244
0.000 0.000 0.756
0.500 0.500 0.000
0.500 0.500 0.500
```

---

(9)
DFT (GGA-PBE) results for a geometry-optimized Cd5Pt structure.

**DFT formation energy**: 131 meV per atom
**Uncorrected energy**: -9.83 eV/f.u.

```
Cd5Pt
1.0
0.000 3.955 3.955
3.955 0.000 3.955
3.955 3.955 0.000
Cd Pt
5 1
direct
0.000 0.000 0.000
0.375 0.375 0.375
0.375 0.375 0.874
0.375 0.874 0.375
0.874 0.375 0.375
0.750 0.750 0.750
```

---

(10)
DFT (GGA-PBE) results for a geometry-optimized LiRh2AuC structure.

**DFT formation energy**: -27 meV per atom
**Uncorrected energy**: -29.25 eV/f.u.

```
LiRh2AuC
1.0
3.978 0.000 0.000
0.000 3.978 0.000
0.000 0.000 4.288
Li Rh Au C
1 2 1 1
direct
0.000 0.000 0.000
0.000 0.500 0.500
0.500 0.000 0.500
0.500 0.500 0.000
0.000 0.000 0.500
```

---

(11)
DFT (GGA-PBE) results for a geometry-optimized Zr2TaRe structure.

**DFT formation energy**: 42 meV per atom
**Uncorrected energy**: -41.23 eV/f.u.
**ΔE to the lowest computed polymorph**: 175 meV per atom

```
Zr2TaRe
1.0
0.000 3.364 3.364
3.364 0.000 3.364
3.364 3.364 0.000
Zr Ta Re
2 1 1
direct
0.250 0.250 0.250
0.750 0.750 0.750
0.000 0.000 0.000
0.500 0.500 0.500
```

---

(12)
DFT (GGA-PBE) results for a geometry-optimized YTm6Sc6 structure.

**DFT formation energy**: 222 meV per atom
**Uncorrected energy**: -68.40 eV/f.u.

```
YTm6Sc6
1.0
6.351 0.000 0.000
-3.176 5.500 0.000
0.000 0.000 10.806
Y Tm Sc
1 6 6
direct
0.000 0.000 0.000
0.000 0.000 0.340
0.000 0.000 0.660
0.333 0.667 0.000
0.333 0.667 0.500
0.667 0.333 0.000
0.667 0.333 0.500
0.000 0.500 0.241
0.000 0.500 0.759
0.500 0.000 0.241
0.500 0.000 0.759
0.500 0.500 0.241
0.500 0.500 0.759
```